Entry 1:
Below is a crystal of Zn2CrOs relaxed with PBEsol, with properties calculated at the meta-GGA SCAN level.

Calculated values
E_form = 0.1 eV/f.u.
crystal system = tetragonal
energy above the most stable polymorph in this dataset = 0.0000 eV per atom
space-group type = P4mm
density of states at the Fermi level = 0.386 states/eV/atom
spin magnetization = 0.0 μB/f.u.

Geometry as extended XYZ:
```
4
Lattice="2.849 0.000 0.000 0.000 2.849 0.000 0.000 0.000 6.503" Properties=species:S:1:pos:R:3 pbc="T T T"
Zn 0.000 0.000 0.000
Zn 1.424 1.424 1.681
Cr 0.000 0.000 3.336
Os 1.424 1.424 4.710
```


Entry 2:
Below is a crystal of CrP3 relaxed with PBEsol, with properties calculated at the meta-GGA SCAN level.

Calculated values
E_form = 1.5 eV/f.u.
crystal system = orthorhombic
energy above the most stable polymorph in this dataset = 0.0348 eV per atom
space-group type = Cmcm
density of states at the Fermi level = 0.506 states/eV/atom
spin magnetization = 0.0 μB/f.u.

Geometry as extended XYZ:
```
8
Lattice="2.296 -6.529 0.000 2.296 6.529 0.000 0.000 0.000 3.724" Properties=species:S:1:pos:R:3 pbc="T T T"
Cr 2.296 5.855 2.793
Cr 2.296 -5.855 0.931
P 1.227 2.611 0.931
P 2.296 0.685 2.793
P 1.227 -2.611 2.793
P 3.365 2.611 0.931
P 2.296 -0.685 0.931
P 3.365 -2.611 2.793
```